Compound: LaTb2TeO8
Source: the Alexandria database
Functional: PBE
Structure: optimized geometry

```
LaTb2TeO8
1.0
-0.315 4.442 -2.360
1.251 -2.279 -4.318
-6.916 -1.214 -1.362
O Tb Te La
8 2 1 1
direct
0.679 0.680 0.500
0.723 0.724 0.000
0.321 0.320 0.500
0.183 0.816 0.202
0.817 0.184 0.202
0.817 0.184 0.798
0.277 0.276 0.000
0.183 0.816 0.798
0.500 0.500 0.238
0.500 0.500 0.762
0.000 0.000 0.000
0.000 0.000 0.500
```

Output
**Magnetization**: 0.88 μB/cell
**Theoretical density**: 6.5 Mg/m³
**Calculated total energy**: -7.254 eV per atom
**E_form (uncorrected)**: -30.1 eV/f.u.